Entry 1:
Entry from the Alexandria database: an optimized crystal structure of FeHgAu3 (PBE).

The value obtained for the formation energy is 660 meV per atom. The calculation puts the mass density at 11.99 g/cm3. The crystal system is cubic. The total magnetization comes out at 3.30 μB per cell. The calculation puts the density of states at the Fermi level at 2.83 states/eV/f.u.

It has space group Pm-3m (No. 221), with a = 4.8955 Å, b = 4.8955 Å, c = 4.8955 Å, α = 90.00°, β = 90.00° and γ = 90.00°. The asymmetric unit holds Fe at (0.0000, 0.0000, 0.0000), Hg at (0.5000, 0.5000, 0.5000) and Au at (0.0000, 0.0000, 0.5000).

Entry 2:
Entry from the Alexandria database: an optimized crystal structure of LiCdO2 (PBE).

Its uncorrected formation energy is -0.990 eV per atom. The calculation puts the mass density at 5.30 g/cm3. The crystal system is trigonal. The total magnetization comes out at 3.03 μB per cell. The calculation puts the density of states at the Fermi level at 1.38 states/eV/f.u.

It has space group R3m (No. 160, hexagonal axes), with a = 3.2459 Å, b = 3.2459 Å, c = 15.6046 Å, α = 90.00°, β = 90.00° and γ = 120.00°. The asymmetric unit holds Li at (0.0000, 0.0000, 0.0000), Cd at (0.0000, 0.0000, 0.1758), O at (0.0000, 0.0000, 0.5963) and O at (0.0000, 0.0000, 0.7563).

Entry 3:
Entry from the Alexandria database: an optimized crystal structure of AsPdSe3 (PBE).

Its uncorrected formation energy is -0.126 eV per atom. The calculation puts the mass density at 5.78 g/cm3. The crystal system is triclinic. The total magnetization comes out at 0.00 μB per cell. The calculation puts the density of states at the Fermi level at 0.32 states/eV/f.u.

It has space group P-1 (No. 2), with a = 3.7434 Å, b = 6.4856 Å, c = 10.5570 Å, α = 74.19°, β = 88.83° and γ = 77.42°. The asymmetric unit holds As at (0.2102, 0.0377, 0.3473), Pd at (0.4043, 0.7728, 0.1002), Se at (0.0629, 0.2937, 0.0382), Se at (0.0945, 0.2448, 0.7392) and Se at (0.3284, 0.7441, 0.5622).

Entry 4:
Entry from the Alexandria database: an optimized crystal structure of LaNi2As (PBE).

The value obtained for the formation energy is -156 meV per atom. The calculation puts the mass density at 7.96 g/cm3. The crystal system is tetragonal. The total magnetization comes out at 0.00 μB per cell. The calculation puts the density of states at the Fermi level at 3.09 states/eV/f.u.

It has space group P4/mmm (No. 123), with a = 3.2125 Å, b = 3.2125 Å, c = 6.6969 Å, α = 90.00°, β = 90.00° and γ = 90.00°. The asymmetric unit holds La at (0.0000, 0.0000, 0.0000), Ni at (0.5000, 0.5000, 0.3133) and As at (0.0000, 0.0000, 0.5000).

Entry 5:
Entry from the Alexandria database: an optimized crystal structure of TmZr4Hg5 (PBE).

The value obtained for the formation energy is -196 meV per atom. The calculation puts the mass density at 11.40 g/cm3. The crystal system is tetragonal. The total magnetization comes out at 0.00 μB per cell. The calculation puts the density of states at the Fermi level at 8.44 states/eV/f.u.

It has space group P4/mmm (No. 123), with a = 3.5623 Å, b = 3.5623 Å, c = 17.6462 Å, α = 90.00°, β = 90.00° and γ = 90.00°. The asymmetric unit holds Tm at (0.0000, 0.0000, 0.0000), Zr at (0.0000, 0.0000, 0.2063), Zr at (0.0000, 0.0000, 0.4015), Hg at (0.5000, 0.5000, 0.1058), Hg at (0.5000, 0.5000, 0.3038) and Hg at (0.5000, 0.5000, 0.5000).

Entry 6:
Entry from the Alexandria database: an optimized crystal structure of ZrInB2Sb (PBE).

Its uncorrected formation energy is 1.527 eV per atom. The calculation puts the mass density at 5.18 g/cm3. The crystal system is tetragonal. The total magnetization comes out at 0.00 μB per cell. The calculation puts the density of states at the Fermi level at 2.82 states/eV/f.u.

It has space group P4/mmm (No. 123), with a = 4.3061 Å, b = 4.3061 Å, c = 6.0448 Å, α = 90.00°, β = 90.00° and γ = 90.00°. The asymmetric unit holds Zr at (0.0000, 0.0000, 0.0000), In at (0.5000, 0.5000, 0.5000), B at (0.0000, 0.5000, 0.5000) and Sb at (0.5000, 0.5000, 0.0000).

> Which formula does entry 5 have?

TmZr4Hg5

What did the second record say?
Entry from the Alexandria database: an optimized crystal structure of LiCdO2 (PBE).

Its uncorrected formation energy is -0.990 eV per atom. The calculation puts the mass density at 5.30 g/cm3. The crystal system is trigonal. The total magnetization comes out at 3.03 μB per cell. The calculation puts the density of states at the Fermi level at 1.38 states/eV/f.u.

It has space group R3m (No. 160, hexagonal axes), with a = 3.2459 Å, b = 3.2459 Å, c = 15.6046 Å, α = 90.00°, β = 90.00° and γ = 120.00°. The asymmetric unit holds Li at (0.0000, 0.0000, 0.0000), Cd at (0.0000, 0.0000, 0.1758), O at (0.0000, 0.0000, 0.5963) and O at (0.0000, 0.0000, 0.7563).